[1]
! PBE TcMoSe2, relaxed; values from VASP
! Energy relative to the elements, uncorrected (eV per formula unit): 2.78
! Size of the total moment (μB per atom): 0.244
! Volume (Å³ per cell): 66.9
! Relative energy among the computed polymorphs (meV/atom): 880
! Space-group type: F-43m (216)
&SYSTEM
  ibrav = 0, nat = 4, ntyp = 3
/
ATOMIC_SPECIES
Se 78.96 Se.upf
Tc 98.00 Tc.upf
Mo 95.94 Mo.upf
ATOMIC_POSITIONS crystal
Se 0.250 0.250 0.250
Tc 0.750 0.750 0.750
Mo 0.500 0.500 0.500
Se 0.000 0.000 0.000
CELL_PARAMETERS angstrom
-3.544 2.699 0.961
-3.320 0.581 -3.068
-4.116 -1.816 0.726

[2]
! PBE Pr2Mg5Ag5, relaxed; values from VASP
! Size of the total moment (μB per atom): 0.000
! ΔH_f (0 K) (eV per atom): -0.24
! Volume (Å³ per cell): 270.4
! Space-group type: Pmmm (47)
&SYSTEM
  ibrav = 0, nat = 12, ntyp = 3
/
ATOMIC_SPECIES
Ag 107.87 Ag.upf
Mg 24.30 Mg.upf
Pr 140.91 Pr.upf
ATOMIC_POSITIONS crystal
Ag 0.000 0.000 0.830
Mg 0.500 0.500 0.500
Ag 0.500 0.000 0.000
Mg 0.500 0.750 0.240
Ag 0.000 0.500 0.667
Pr 0.000 0.500 0.000
Ag 0.000 0.000 0.170
Mg 0.500 0.750 0.760
Mg 0.500 0.250 0.240
Pr 0.000 0.000 0.500
Ag 0.000 0.500 0.333
Mg 0.500 0.250 0.760
CELL_PARAMETERS angstrom
4.645 0.000 0.000
0.000 5.849 0.000
0.000 0.000 9.952

[3]
! PBE Sn2Pb2S, relaxed; values from VASP
! Energy relative to the elements, uncorrected (eV per formula unit): 0.40
! Size of the total moment (μB per atom): 0.000
! Volume (Å³ per cell): 287.5
! Relative energy among the computed polymorphs (meV/atom): 0
! Space-group type: P4/mbm (127)
&SYSTEM
  ibrav = 0, nat = 10, ntyp = 3
/
ATOMIC_SPECIES
Sn 118.71 Sn.upf
S 32.06 S.upf
Pb 207.20 Pb.upf
ATOMIC_POSITIONS crystal
Sn 0.154 0.346 0.000
Sn 0.846 0.654 0.000
S 0.500 0.500 0.000
Pb 0.667 0.833 0.500
Pb 0.167 0.667 0.500
Sn 0.346 0.846 0.000
S 0.000 0.000 0.000
Sn 0.654 0.154 0.000
Pb 0.333 0.167 0.500
Pb 0.833 0.333 0.500
CELL_PARAMETERS angstrom
7.390 0.000 0.000
0.000 7.390 0.000
0.000 0.000 5.264